Material: HfFe2Sn
Method: DFT, PBE-GGA
State: relaxed

Values from the calculation:
Raw total energy in eV/atom: -7.27
SG: P6_3/mmc, No. 194

Cell: 4.7551 4.7551 7.4081 Å, 90.00 90.00 120.00°
Fractional positions:
Sn  0.0000  0.0000  0.7500
Sn  0.0000  0.0000  0.2500
Hf  0.3333  0.6667  0.7500
Fe  0.6667  0.3333  0.9055
Fe  0.6667  0.3333  0.5945
Hf  0.6667  0.3333  0.2500
Fe  0.3333  0.6667  0.0945
Fe  0.3333  0.6667  0.4055